No. 1
Density functional theory data (PBE) for PmPrCuRh after structural relaxation.

Calculated values
Its space group is Amm2, No. 38. The calculation puts the density of states at the Fermi level at 2.890 states/eV/f.u. Its formation energy is -0.465 eV per atom. Its mass density is 7.97 Mg/m³.

Unit cell a=3.9417 b=4.4714 c=5.6979 alpha=90.00 beta=110.24 gamma=90.00
Atoms (fractional coordinates):
Cu 0.5740 0.5000 0.1480
Pr 0.1410 0.0000 0.2820
Pm 0.8648 0.5000 0.7296
Rh 0.4202 0.0000 0.8404

No. 2
Density functional theory data (PBE) for PmPrCuRh after structural relaxation.

Calculated values
Its space group is F-43m, No. 216. The calculation puts the density of states at the Fermi level at 4.193 states/eV/f.u. Its formation energy is -0.406 eV per atom. Its mass density is 8.25 Mg/m³.

Unit cell a=5.0491 b=5.0491 c=5.0491 alpha=60.00 beta=60.00 gamma=60.00
Atoms (fractional coordinates):
Cu 0.2500 0.2500 0.2500
Pm 0.5000 0.5000 0.5000
Rh 0.7500 0.7500 0.7500
Pr 0.0000 0.0000 0.0000

No. 3
Density functional theory data (PBE) for PmPrCuRu after structural relaxation.

Calculated values
Its space group is Amm2, No. 38. The calculation puts the density of states at the Fermi level at 2.665 states/eV/f.u. Its formation energy is -0.186 eV per atom. Its mass density is 8.02 Mg/m³.

Unit cell a=3.9925 b=4.3477 c=5.7312 alpha=90.00 beta=110.38 gamma=90.00
Atoms (fractional coordinates):
Ru 0.4251 0.0000 0.8502
Pr 0.1429 0.0000 0.2858
Pm 0.8625 0.5000 0.7250
Cu 0.5695 0.5000 0.1390

No. 4
Density functional theory data (PBE) for PmPrCuRu after structural relaxation.

Calculated values
Its space group is F-43m, No. 216. The calculation puts the density of states at the Fermi level at 2.220 states/eV/f.u. Its formation energy is -0.166 eV per atom. Its mass density is 8.37 Mg/m³.

Unit cell a=5.0178 b=5.0178 c=5.0178 alpha=60.00 beta=60.00 gamma=60.00
Atoms (fractional coordinates):
Pm 0.5000 0.5000 0.5000
Pr 0.0000 0.0000 0.0000
Cu 0.2500 0.2500 0.2500
Ru 0.7500 0.7500 0.7500

Number 1: energy above the lowest structure with this stoichiometry 0.000 eV/atom, total magnetic moment 0.00 Bohr magnetons per cell. Number 2: energy above the lowest structure with this stoichiometry 0.059 eV/atom, total magnetic moment 0.00 Bohr magnetons per cell. Number 3: energy above the lowest structure with this stoichiometry 0.000 eV/atom, total magnetic moment 0.00 Bohr magnetons per cell. Number 4: energy above the lowest structure with this stoichiometry 0.019 eV/atom, total magnetic moment 0.00 Bohr magnetons per cell.